(1)
PBEsol Li2Fe3CuO8, optimized geometry; DOS(E_F) = 0.5583 states/eV per atom; final energy = -6.881 eV/atom; formation energy without anion corrections = -1370 meV per atom; total magnetic moment = 0.50 μB/atom
1.0
-5.961 -0.219 5.407
1.499 -7.796 1.337
5.200 1.997 5.813
Li Fe Cu O
8 12 4 32
Direct
0.008 0.008 0.008
0.242 0.242 0.242
0.258 0.758 0.742
0.492 0.992 0.508
0.508 0.492 0.992
0.742 0.258 0.758
0.758 0.742 0.258
0.992 0.508 0.492
0.114 0.136 0.625
0.125 0.386 0.864
0.136 0.625 0.114
0.364 0.375 0.614
0.375 0.614 0.364
0.386 0.864 0.125
0.614 0.364 0.375
0.625 0.114 0.136
0.636 0.875 0.886
0.864 0.125 0.386
0.875 0.886 0.636
0.886 0.636 0.875
0.125 0.875 0.375
0.375 0.125 0.875
0.625 0.625 0.625
0.875 0.375 0.125
0.095 0.126 0.394
0.106 0.905 0.626
0.120 0.620 0.880
0.124 0.155 0.856
0.126 0.394 0.095
0.130 0.370 0.630
0.144 0.624 0.345
0.155 0.856 0.124
0.345 0.144 0.624
0.356 0.376 0.845
0.370 0.630 0.130
0.374 0.606 0.595
0.376 0.845 0.356
0.380 0.380 0.380
0.394 0.095 0.126
0.405 0.874 0.894
0.595 0.374 0.606
0.606 0.595 0.374
0.620 0.880 0.120
0.624 0.345 0.144
0.626 0.106 0.905
0.630 0.130 0.370
0.644 0.876 0.655
0.655 0.644 0.876
0.845 0.356 0.376
0.856 0.124 0.155
0.870 0.870 0.870
0.874 0.894 0.405
0.876 0.655 0.644
0.880 0.120 0.620
0.894 0.405 0.874
0.905 0.626 0.106

---

(2)
PBEsol Li2Fe2CuO6, optimized geometry; DOS(E_F) = 0.4910 states/eV per atom; final energy = -6.604 eV/atom; formation energy without anion corrections = -1359 meV per atom; total magnetic moment = 0.29 μB/atom
1.0
-3.042 -3.652 -5.194
-4.112 -3.104 3.512
-7.154 2.963 -1.094
Li Fe Cu O
6 6 3 18
Direct
0.978 0.332 0.178
0.976 0.672 0.837
0.346 0.004 0.156
0.320 0.663 0.511
0.688 0.335 0.489
0.691 0.994 0.829
0.986 0.667 0.330
0.988 0.323 0.665
0.679 0.343 0.001
0.681 0.000 0.337
0.988 0.988 0.005
0.679 0.678 0.662
0.333 0.334 0.333
0.333 0.007 0.668
0.334 0.660 0.999
0.983 0.675 0.093
0.978 0.354 0.426
0.979 0.010 0.767
0.404 0.346 0.077
0.403 0.012 0.406
0.696 0.022 0.084
0.263 0.655 0.260
0.263 0.321 0.589
0.689 0.312 0.241
0.403 0.690 0.735
0.697 0.679 0.417
0.700 0.351 0.749
0.264 0.977 0.932
0.683 0.991 0.574
0.688 0.657 0.900
0.969 0.988 0.250
0.970 0.645 0.583
0.966 0.316 0.917

---

(3)
PBEsol Li3Fe2Cu2O8, optimized geometry; DOS(E_F) = 0.3041 states/eV per atom; final energy = -6.251 eV/atom; formation energy without anion corrections = -1285 meV per atom; total magnetic moment = 0.20 μB/atom
1.0
5.445 -0.004 -0.071
0.004 5.446 0.017
2.584 2.707 4.598
Li Fe Cu O
3 2 2 8
Direct
0.000 0.000 0.500
0.500 0.500 0.000
0.000 0.500 0.500
0.500 0.500 0.500
0.500 0.000 0.500
0.000 0.000 0.000
0.500 0.000 0.000
0.717 0.729 0.542
0.737 0.253 0.494
0.297 0.819 0.906
0.297 0.275 0.906
0.703 0.725 0.094
0.703 0.181 0.094
0.263 0.747 0.506
0.283 0.271 0.458

---

(4)
PBEsol Li2Fe3CuO8, optimized geometry; DOS(E_F) = 0.8311 states/eV per atom; final energy = -6.866 eV/atom; formation energy without anion corrections = -1355 meV per atom; total magnetic moment = 0.47 μB/atom
1.0
5.809 0.157 0.111
3.010 4.971 0.111
3.010 1.750 4.654
Li Fe Cu O
2 3 1 8
Direct
0.125 0.125 0.125
0.875 0.875 0.875
0.500 0.000 0.500
0.000 0.500 0.500
0.500 0.500 0.000
0.500 0.500 0.500
0.264 0.264 0.264
0.253 0.253 0.712
0.712 0.253 0.253
0.253 0.712 0.253
0.747 0.288 0.747
0.288 0.747 0.747
0.747 0.747 0.288
0.736 0.736 0.736